The following is a GGA-PBE calculation of a geometry-optimized PaPd2Pt2 structure, from Alexandria via LeMat-Bulk.

The energy of formation is 0.31 eV/atom. The calculated volume is 122.83 Å³/f.u.

It has space group I4/mmm (No. 139), with a = 3.7715 Å, b = 3.7715 Å, c = 17.2707 Å, α = 90.00°, β = 90.00° and γ = 90.00°. The asymmetric unit holds Pa at (0.0000, 0.0000, 0.0000), Pd at (0.0000, 0.5000, 0.2500) and Pt at (0.0000, 0.0000, 0.1372).

---

The following is a GGA-PBE calculation of a geometry-optimized Pa2Pd5Pt5 structure, from Alexandria via LeMat-Bulk.

The energy of formation is -0.75 eV/atom. The calculated volume is 206.82 Å³/f.u.

It has space group C2/m (No. 12), with a = 12.0351 Å, b = 4.1252 Å, c = 9.1747 Å, α = 90.00°, β = 114.75° and γ = 90.00°. The asymmetric unit holds Pa at (0.0832, 0.0000, 0.2520), Pd at (0.0000, 0.0000, 0.5000), Pd at (0.1670, 0.0000, 0.0003), Pd at (0.2457, 0.5000, 0.2476), Pt at (0.0000, 0.5000, 0.0000), Pt at (0.0811, 0.5000, 0.7510) and Pt at (0.1668, 0.5000, 0.5067).

---

The following is a GGA-PBE calculation of a geometry-optimized Pa2Pd3Pt3 structure, from Alexandria via LeMat-Bulk.

The energy of formation is -0.82 eV/atom. The calculated volume is 149.45 Å³/f.u.

It has space group C2 (No. 5), with a = 7.2190 Å, b = 7.8442 Å, c = 5.3395 Å, α = 90.00°, β = 98.67° and γ = 90.00°. The asymmetric unit holds Pa at (0.2211, 0.0000, 0.2181), Pd at (0.0000, 0.7515, 0.5000), Pd at (0.1212, 0.3744, 0.2537), Pt at (0.0000, 0.6996, 0.0000) and Pt at (0.1504, 0.1469, 0.6990).